[1]
{"formula": "BaNaEuSeO6", "functional": "PBE-GGA", "state": "optimized geometry", "e_form_raw_ev_per_fu": -17.90, "lattice_angstrom": [[0.0000, 4.1340, 4.1340], [4.1340, 0.0000, 4.1340], [4.1340, 4.1340, 0.0000]], "species": ["Ba", "Na", "Eu", "Se", "O", "O", "O", "O", "O", "O"], "frac_coords": [[0.7500, 0.7500, 0.7500], [0.2500, 0.2500, 0.2500], [0.0000, 0.0000, 0.0000], [0.5000, 0.5000, 0.5000], [0.2782, 0.7218, 0.2782], [0.7218, 0.2782, 0.7218], [0.2782, 0.7218, 0.7218], [0.7218, 0.2782, 0.2782], [0.2782, 0.2782, 0.7218], [0.7218, 0.7218, 0.2782]]}


[2]
{"formula": "Mg3Co5", "functional": "PBE-GGA", "state": "optimized geometry", "ef_ev_per_atom": 0.193, "lattice_angstrom": [[2.9668, -4.2123, 0.0000], [2.9668, 4.2123, 0.0000], [0.0000, 0.0000, 4.1878]], "species": ["Mg", "Mg", "Mg", "Co", "Co", "Co", "Co", "Co"], "frac_coords": [[0.5000, 0.5000, 0.0000], [0.7388, 0.2612, 0.5000], [0.2612, 0.7388, 0.5000], [0.0000, 0.0000, 0.0000], [0.0000, 0.5000, 0.0000], [0.5000, 0.0000, 0.0000], [0.2136, 0.2136, 0.5000], [0.7864, 0.7864, 0.5000]]}


no.,theoretical density (g/cm3)
1,5.73
2,5.83